[1]
Material: HgGeSeO
Method: DFT, PBE
State: relaxed

E above lowest polymorph ... 0.000 eV/atom
E ... -3.921 eV per atom
Crystal system ... orthorhombic
Symmetry ... Pca2_1

Geometry as POSCAR:
```
HgGeSeO
1.0
8.062 0.000 0.000
0.000 6.759 0.000
0.000 0.000 5.921
Hg Ge Se O
4 4 4 4
Direct
0.065 0.201 0.000
0.435 0.201 0.500
0.565 0.799 0.000
0.935 0.799 0.500
0.135 0.576 0.000
0.365 0.576 0.500
0.635 0.424 0.000
0.865 0.424 0.500
0.073 0.156 0.501
0.427 0.156 0.001
0.573 0.844 0.501
0.927 0.844 0.001
0.249 0.656 0.749
0.251 0.656 0.249
0.749 0.344 0.749
0.751 0.344 0.249
```


[2]
Material: HgGeSeO
Method: DFT, PBE
State: relaxed

E above lowest polymorph ... 0.378 eV/atom
E ... -3.543 eV per atom
Crystal system ... tetragonal
Symmetry ... P4/nmm

Geometry as POSCAR:
```
HgGeSeO
1.0
4.209 0.000 0.000
0.000 4.209 0.000
0.000 0.000 9.225
Hg Ge Se O
2 2 2 2
Direct
0.250 0.750 0.000
0.750 0.250 0.000
0.250 0.250 0.306
0.750 0.750 0.694
0.250 0.250 0.697
0.750 0.750 0.303
0.250 0.250 0.499
0.750 0.750 0.501
```


[3]
Material: HgGeSeO
Method: DFT, PBE
State: relaxed

E above lowest polymorph ... 0.347 eV/atom
E ... -3.573 eV per atom
Crystal system ... tetragonal
Symmetry ... P4/nmm

Geometry as POSCAR:
```
HgGeSeO
1.0
5.259 0.000 0.000
0.000 5.259 0.000
0.000 0.000 7.203
Hg Ge Se O
2 2 2 2
Direct
0.250 0.250 0.140
0.750 0.750 0.860
0.250 0.250 0.689
0.750 0.750 0.311
0.250 0.750 0.000
0.750 0.250 0.000
0.250 0.250 0.455
0.750 0.750 0.545
```


[4]
Material: HgGeSeO
Method: DFT, PBE
State: relaxed

E above lowest polymorph ... 0.182 eV/atom
E ... -3.739 eV per atom
Crystal system ... orthorhombic
Symmetry ... P2_12_12_1

Geometry as POSCAR:
```
HgGeSeO
1.0
6.343 0.000 0.000
0.000 7.651 0.000
0.000 0.000 7.990
Hg Ge Se O
4 4 4 4
Direct
0.229 0.058 0.010
0.271 0.942 0.510
0.729 0.442 0.990
0.771 0.558 0.490
0.191 0.612 0.808
0.309 0.388 0.308
0.691 0.888 0.192
0.809 0.112 0.692
0.037 0.104 0.299
0.463 0.896 0.799
0.537 0.396 0.701
0.963 0.604 0.201
0.059 0.690 0.630
0.441 0.310 0.130
0.559 0.810 0.370
0.941 0.190 0.870
```


[5]
Material: HgGeSeO
Method: DFT, PBE
State: relaxed

E above lowest polymorph ... 0.632 eV/atom
E ... -3.289 eV per atom
Crystal system ... tetragonal
Symmetry ... P4/nmm

Geometry as POSCAR:
```
HgGeSeO
1.0
4.821 0.000 0.000
0.000 4.821 0.000
0.000 0.000 7.787
Hg Ge Se O
2 2 2 2
Direct
0.250 0.250 0.200
0.750 0.750 0.800
0.250 0.750 0.500
0.750 0.250 0.500
0.250 0.250 0.669
0.750 0.750 0.331
0.250 0.250 0.891
0.750 0.750 0.109
```


[6]
Material: HgGeSeO
Method: DFT, PBE
State: relaxed

E above lowest polymorph ... 0.202 eV/atom
E ... -3.719 eV per atom
Crystal system ... orthorhombic
Symmetry ... P2_12_12_1

Geometry as POSCAR:
```
HgGeSeO
1.0
6.848 0.000 0.000
0.000 6.945 0.000
0.000 0.000 7.703
Hg Ge Se O
4 4 4 4
Direct
0.246 0.038 0.141
0.254 0.962 0.641
0.746 0.462 0.859
0.754 0.538 0.359
0.249 0.548 0.390
0.251 0.452 0.890
0.749 0.952 0.610
0.751 0.048 0.110
0.075 0.837 0.908
0.425 0.163 0.408
0.575 0.663 0.092
0.925 0.337 0.592
0.092 0.339 0.033
0.408 0.661 0.533
0.592 0.161 0.967
0.908 0.839 0.467
```


Q: The highest E above lowest polymorph belongs to which entry?
A: number 5


Q: The lowest E belongs to which entry?
A: number 1


Q: Which formula does entry 6 have?
A: HgGeSeO